No. 1
# TbDy2Ga3Si2Ni

A relaxed structure of TbDy2Ga3Si2Ni (PBE-GGA, the Open Quantum Materials Database).

a b c (Å): 4.1534 6.8801 6.8801
angles (deg): 120.05 90.00 90.00
Element x y z (fractional)
Tb: 0.0000 0.0000 0.0000
Dy: 0.0000 0.1933 0.5965
Dy: 0.0000 0.5965 0.1933
Ga: 0.5000 0.3608 0.3608
Ga: 0.5000 0.5959 0.8320
Ga: 0.5000 0.8320 0.5959
Si: 0.5000 0.2639 0.9293
Si: 0.5000 0.9293 0.2639
Ni: 0.0000 0.5955 0.5955

Calculated values
DFT total energy, eV per atom: -5.061
Volume, Å³/cell: 170



No. 2
# DyTm2Ga3Si2Ni

A relaxed structure of DyTm2Ga3Si2Ni (PBE-GGA, the Open Quantum Materials Database).

a b c (Å): 4.1212 6.8312 6.8312
angles (deg): 120.22 90.00 90.00
Element x y z (fractional)
Dy: 0.0000 0.0000 0.0000
Tm: 0.0000 0.1917 0.5955
Tm: 0.0000 0.5955 0.1917
Ga: 0.5000 0.3584 0.3584
Ga: 0.5000 0.5938 0.8314
Ga: 0.5000 0.8314 0.5938
Si: 0.5000 0.2640 0.9273
Si: 0.5000 0.9273 0.2640
Ni: 0.0000 0.5920 0.5920

Calculated values
DFT total energy, eV per atom: -5.025
Volume, Å³/cell: 166